Record 1
A relaxed Dy6TaSn10 crystal, computed with PBE-GGA.

Output
Formation energy: -0.45 eV per atom
E: -0.377 Ry per atom
N(E_F): 10.1 states/eV/cell

CIF file:
```
data_Dy6TaSn10
_symmetry_space_group_name_H-M 'P -3 1 m'
_symmetry_Int_Tables_number 162
_symmetry_space_group_name_Hall '-P 3 2'
_cell_length_a 9.1428
_cell_length_b 9.1428
_cell_length_c 6.1720
_cell_angle_alpha 90.00
_cell_angle_beta 90.00
_cell_angle_gamma 120.00
loop_
_atom_site_label
_atom_site_type_symbol
_atom_site_fract_x
_atom_site_fract_y
_atom_site_fract_z
_atom_site_occupancy
Dy1 Dy 0.0000 0.3895 0.2577 1
Ta1 Ta 0.0000 0.0000 0.5000 1
Sn1 Sn 0.0000 0.2388 0.7891 1
Sn2 Sn 0.3333 0.6667 0.0000 1
Sn3 Sn 0.3333 0.6667 0.5000 1
```

Record 2
A relaxed ZrSc4Tc2 crystal, computed with PBE-GGA.

Output
Formation energy: -0.12 eV per atom
E: -0.582 Ry per atom
N(E_F): 13.3 states/eV/cell

CIF file:
```
data_ZrSc4Tc2
_symmetry_space_group_name_H-M 'P 1 21/m 1'
_symmetry_Int_Tables_number 11
_symmetry_space_group_name_Hall '-P 2yb'
_cell_length_a 7.309
_cell_length_b 5.834
_cell_length_c 7.388
_cell_angle_alpha 90.00
_cell_angle_beta 111.70
_cell_angle_gamma 90.00
loop_
_atom_site_label
_atom_site_type_symbol
_atom_site_fract_x
_atom_site_fract_y
_atom_site_fract_z
_atom_site_occupancy
Zr1 Zr 0.161 0.250 0.043 1
Sc1 Sc 0.028 0.250 0.397 1
Sc2 Sc 0.234 0.750 0.318 1
Sc3 Sc 0.415 0.001 0.764 1
Tc1 Tc 0.228 0.750 0.963 1
Tc2 Tc 0.389 0.250 0.429 1
```

Record 3
A relaxed AcH8PtRh2 crystal, computed with PBE-GGA.

Output
E: -0.335 Ry per atom
N(E_F): 7.5 states/eV/cell

CIF file:
```
data_AcH8PtRh2
_symmetry_space_group_name_H-M 'R -3'
_symmetry_Int_Tables_number 148
_symmetry_space_group_name_Hall '-R 3'
_cell_length_a 4.8745
_cell_length_b 4.8745
_cell_length_c 17.1907
_cell_angle_alpha 90.00
_cell_angle_beta 90.00
_cell_angle_gamma 120.00
loop_
_atom_site_label
_atom_site_type_symbol
_atom_site_fract_x
_atom_site_fract_y
_atom_site_fract_z
_atom_site_occupancy
Ac1 Ac 0.0000 0.0000 0.0000 1
H1 H 0.0000 0.0000 0.3071 1
H2 H 0.0129 0.6520 0.7870 1
Pt1 Pt 0.0000 0.0000 0.5000 1
Rh1 Rh 0.0000 0.0000 0.2092 1
```